# 1
Computed, not measured: crystalline Th5Co2Hg2 at its relaxed geometry at the PBE level of DFT.

abc: 10.400 10.400 10.400
angles: 60.06 135.97 141.28
Fractional coordinates of all 18 atoms:
Th  0.242  0.017  0.259
Th  0.242  0.483  0.725
Th  0.323  0.359  0.464
Th  0.653  0.090  0.247
Th  0.653  0.906  0.063
Th  0.758  0.517  0.275
Th  0.758  0.983  0.741
Th  0.843  0.406  0.753
Th  0.843  0.590  0.937
Th  0.895  0.859  0.536
Co  0.415  0.691  0.224
Co  0.468  0.191  0.776
Co  0.741  0.241  0.500
Co  0.741  0.741  0.000
Hg  0.244  0.374  0.100
Hg  0.244  0.645  0.370
Hg  0.275  0.145  0.900
Hg  0.275  0.874  0.630

- Energy relative to the lowest polymorph listed for this composition: 111 meV/atom
- DFT formation energy: -0.120 eV per atom
- Space-group type: No. 46

=====

# 2
Computed, not measured: crystalline BeHg2Os at its relaxed geometry at the PBE level of DFT.

abc: 2.987 2.987 9.054
angles: 90.00 90.00 122.93
Fractional coordinates of all 4 atoms:
Be  0.000  0.000  0.000
Hg  0.500  0.500  0.228
Hg  0.500  0.500  0.772
Os  0.000  0.000  0.500

- DFT formation energy: 0.826 eV per atom
- Space-group type: No. 65